# 1
! V4Ir5W | Alexandria | PBE | relaxed; values from VASP
&SYSTEM
  ibrav = 0, nat = 10, ntyp = 3
/
ATOMIC_SPECIES
V 50.94 V.upf
Ir 192.22 Ir.upf
W 183.84 W.upf
ATOMIC_POSITIONS crystal
V 0.000 0.000 0.098
V 0.000 0.000 0.295
V 0.000 0.000 0.705
V 0.000 0.000 0.902
Ir 0.500 0.500 0.000
Ir 0.500 0.500 0.196
Ir 0.500 0.500 0.395
Ir 0.500 0.500 0.605
Ir 0.500 0.500 0.804
W 0.000 0.000 0.500
CELL_PARAMETERS angstrom
2.765 0.000 0.000
0.000 2.765 0.000
0.000 0.000 18.574
! - N(E_F): 13.31 states/eV/cell
! - E_form: -0.445 eV/atom
! - Energy: -0.7216 Ry per atom

---

# 2
! V3IrW | Alexandria | PBE | relaxed; values from VASP
&SYSTEM
  ibrav = 0, nat = 5, ntyp = 3
/
ATOMIC_SPECIES
V 50.94 V.upf
Ir 192.22 Ir.upf
W 183.84 W.upf
ATOMIC_POSITIONS crystal
V 0.000 0.000 0.500
V 0.000 0.500 0.000
V 0.500 0.000 0.000
Ir 0.000 0.000 0.000
W 0.500 0.500 0.500
CELL_PARAMETERS angstrom
4.532 0.000 0.000
0.000 4.532 0.000
0.000 0.000 4.532
! - N(E_F): 6.49 states/eV/cell
! - E_form: 1.357 eV/atom
! - Excess energy over the best structure of this formula in the dataset: 0 kJ/mol of formula units
! - Energy: -0.6231 Ry per atom

---

# 3
! V3Ir4W | Alexandria | PBE | relaxed; values from VASP
&SYSTEM
  ibrav = 0, nat = 8, ntyp = 3
/
ATOMIC_SPECIES
V 50.94 V.upf
Ir 192.22 Ir.upf
W 183.84 W.upf
ATOMIC_POSITIONS crystal
V 0.000 0.000 0.000
V 0.000 0.500 0.248
V 0.000 0.500 0.752
Ir 0.500 0.000 0.247
Ir 0.500 0.000 0.753
Ir 0.500 0.500 0.000
Ir 0.500 0.500 0.500
W 0.000 0.000 0.500
CELL_PARAMETERS angstrom
3.778 0.000 0.000
0.000 3.900 0.000
0.000 0.000 7.757
! - N(E_F): 8.57 states/eV/cell
! - E_form: -0.434 eV/atom
! - Energy: -0.7279 Ry per atom